Material: Ag2WBr
Method: DFT, PBE-GGA
State: relaxed

Summary:
V   19.96 A^3/atom
Crystal system   tetragonal
Energy relative to the lowest polymorph listed for this composition   0.651 eV per atom
Formation energy without anion corrections   1103 meV per atom
M_tot   0.4 μB per formula unit
Calculated density   9.971 g cm⁻³
SG   P4/mmm, No. 123

Unit cell a=5.4221 b=5.4221 c=2.7159 alpha=90.00 beta=90.00 gamma=90.00
Each line ends with the local moment (μB).
Fractional coordinates of all 4 atoms:
1 Ag 0.0000 0.0000 0.0000  0.01
2 Ag 0.5000 0.5000 0.0000  0.01
3 W 0.0000 0.5000 0.5000  0.20
4 Br 0.5000 0.0000 0.5000  0.11


Material: Sm2BiSbO8
Method: DFT, PBE-GGA
State: relaxed

Summary:
V   15.00 A^3/atom
Crystal system   monoclinic
Formation energy without anion corrections   -2062 meV per atom
M_tot   0.0 μB per formula unit
Calculated density   7.005 g cm⁻³
SG   C2/m, No. 12

Unit cell a=5.1396 b=5.1415 c=6.8205 alpha=89.95 beta=89.95 gamma=92.65
Fractional coordinates of all 12 atoms:
1 O 0.8116 0.1707 0.2357
2 O 0.2781 0.2779 0.0116
3 O 0.1884 0.8293 0.7643
4 O 0.2927 0.2924 0.4901
5 O 0.7073 0.7076 0.5099
6 O 0.1705 0.8115 0.2357
7 O 0.7219 0.7221 0.9884
8 O 0.8295 0.1885 0.7643
9 Sb 0.0000 0.0000 0.0000
10 Sm 0.4876 0.4876 0.7560
11 Sm 0.5124 0.5124 0.2440
12 Bi 0.0000 0.0000 0.5000


no.,Fermi-level density of states (states/eV/f.u.)
1,4.6
2,0.2